1.
Material: Y2ReBr
Method: DFT, PBE-GGA
State: optimized geometry

POSCAR file:
```
Y2ReBr
1.0
3.4158 0.0000 0.0000
0.0000 4.8187 0.0000
0.0000 0.0000 5.7922
Y Re Br
2 1 1
Cartesian
0.0000 0.0000 0.0000
1.7079 2.4094 2.8961
0.0000 0.0000 2.8961
1.7079 2.4094 0.0000
```

Calculated values
N(E_F) in states/eV per cell: 3.26
Total magnetization in μB/cell: 0.0
Formation energy without anion corrections in eV per atom: -0.1080
SG: Pmmm, No. 47
ΔE to the lowest computed polymorph in eV per atom: 0.374

---

2.
Material: LaZn9Au2
Method: DFT, PBE-GGA
State: optimized geometry

POSCAR file:
```
LaZn9Au2
1.0
-5.4276 5.4276 3.4832
5.4276 -5.4276 3.4832
5.4276 5.4276 -3.4832
La Zn Au
2 18 4
Cartesian
5.4276 2.7138 0.8708
0.0000 2.7138 2.6124
5.4276 -2.7138 2.6124
4.1054 -0.4560 1.2135
6.7498 -0.4560 1.2135
2.2578 1.3916 0.5281
8.5974 1.3916 0.5281
4.1054 4.9716 -1.2135
1.3222 -0.4560 2.2696
2.2578 4.0360 0.5281
3.1698 -1.3916 4.0112
2.2578 6.8192 -0.5281
3.1698 1.3916 2.9551
4.1054 5.8836 1.2135
1.3222 0.4560 4.6967
-3.1698 4.0360 2.9551
3.1698 4.0360 2.9551
-1.3222 5.8836 2.2696
1.3222 5.8836 2.2696
0.0000 8.1414 0.8708
0.0000 0.0000 0.0000
2.7138 2.7138 -1.7416
2.7138 -2.7138 1.7416
0.0000 5.4276 0.0000
```

Calculated values
N(E_F) in states/eV per cell: 5.86
Total magnetization in μB/cell: 0.0
SG: I4_1/amd, No. 141
ΔE to the lowest computed polymorph in eV per atom: 0.000
Energy of formation from the pure elements in meV/atom: -319

---

3.
Material: Ba2MgF5
Method: DFT, PBE-GGA
State: optimized geometry

POSCAR file:
```
Ba2MgF5
1.0
-2.9408 2.9408 4.0970
2.9408 -2.9408 4.0970
2.9408 2.9408 -4.0970
Ba Mg F
2 1 5
Cartesian
2.9408 0.0000 0.0000
0.0000 2.9408 0.0000
0.0000 0.0000 2.0747
0.0000 0.0000 0.1231
1.5502 1.5502 -2.0048
1.3907 -1.3907 2.0922
-1.3907 1.3907 2.0922
1.3907 1.3907 2.0922
```

Calculated values
N(E_F) in states/eV per cell: 0.89
Total magnetization in μB/cell: 0.6
Formation energy without anion corrections in eV per atom: -3.3546
SG: I4mm, No. 107

---

4.
Material: Ho4InCuRu2
Method: DFT, PBE-GGA
State: optimized geometry

POSCAR file:
```
Ho4InCuRu2
1.0
2.4717 1.4270 8.0585
-2.4717 1.4270 8.0585
0.0000 -2.8540 8.0585
Ho In Cu Ru
4 1 1 2
Cartesian
0.0000 0.0000 2.8796
0.0000 0.0000 8.9513
0.0000 0.0000 15.2240
0.0000 0.0000 21.2958
0.0000 0.0000 12.0877
0.0000 0.0000 0.0000
0.0000 0.0000 6.0059
0.0000 0.0000 18.1695
```

Calculated values
N(E_F) in states/eV per cell: 5.34
Total magnetization in μB/cell: 0.0
SG: R-3m, No. 166
Energy of formation from the pure elements in meV/atom: -347

---

5.
Material: ScNbGaRh2
Method: DFT, PBE-GGA
State: optimized geometry

POSCAR file:
```
ScNbGaRh2
1.0
4.4964 0.0000 0.0000
0.0000 4.4964 0.0000
0.0000 0.0000 4.9449
Sc Nb Ga Rh
1 1 1 2
Cartesian
0.0000 0.0000 0.0000
2.2482 2.2482 2.4725
0.0000 0.0000 2.4725
0.0000 2.2482 0.0000
2.2482 0.0000 0.0000
```

Calculated values
N(E_F) in states/eV per cell: 4.49
Total magnetization in μB/cell: 0.0
SG: P4/mmm, No. 123
Energy of formation from the pure elements in meV/atom: 836

---

6.
Material: TeWCN2
Method: DFT, PBE-GGA
State: optimized geometry

POSCAR file:
```
TeWCN2
1.0
3.8599 0.0000 0.0000
0.0000 3.8599 0.0000
0.0000 0.0000 4.1726
Te W C N
1 1 1 2
Cartesian
0.0000 0.0000 0.0000
1.9300 1.9300 0.0000
0.0000 0.0000 2.0863
0.0000 1.9300 2.0863
1.9300 0.0000 2.0863
```

Calculated values
N(E_F) in states/eV per cell: 2.53
Total magnetization in μB/cell: 0.8
Formation energy without anion corrections in eV per atom: 2.6090
SG: P4/mmm, No. 123
ΔE to the lowest computed polymorph in eV per atom: 1.166